Here is a relaxed structure of CdRuBr2 from Alexandria. Energies are from GGA-PBE.

Cell: 10.3954 10.3954 10.3954 Å, 20.79 20.79 20.79°
Closest atoms and distances in Å follow each position.
Positions (direct):
Ru: 0.5000 0.5000 0.5000  6 Br 2.54
Br: 0.8770 0.8770 0.8770  3 Ru 2.54
Br: 0.1230 0.1230 0.1230  3 Ru 2.54
Cd: 0.0000 0.0000 0.0000  6 Cd 3.75, 2 Br 3.75

Results
- Total energy: -13.21 eV/cell
- Crystal system: trigonal
- Energy relative to the elements, uncorrected: 0.33 eV per formula unit